Here is a geometry-optimized Li2La2Ti structure from Alexandria. Energies are from PBE-GGA. Values from VASP.

- Formation energy from the elements: 0.40 eV per atom
- DFT total energy: -3.915 eV/atom
- Density of states at the Fermi level: 9.047 states/eV/f.u.

Cell and atoms, written as Quantum ESPRESSO input:
```
&SYSTEM
  ibrav = 0, nat = 10, ntyp = 3
/
ATOMIC_SPECIES
Ti 47.87 Ti.upf
Li 6.94 Li.upf
La 138.91 La.upf
CELL_PARAMETERS angstrom
8.392 0.000 0.000
0.000 8.392 0.000
0.000 0.000 3.585
ATOMIC_POSITIONS angstrom
Ti 0.000 0.000 0.000
Ti 4.196 4.196 0.000
Li 3.351 7.548 0.000
Li 7.548 5.041 0.000
Li 5.041 0.845 0.000
Li 0.845 3.351 0.000
La 1.730 5.927 1.793
La 5.927 6.662 1.793
La 6.662 2.466 1.793
La 2.466 1.730 1.793
```


Here is a geometry-optimized BaMo2As structure from Alexandria. Energies are from PBE-GGA. Values from VASP.

- Formation energy from the elements: 0.51 eV per atom
- DFT total energy: -6.549 eV/atom
- Density of states at the Fermi level: 4.426 states/eV/f.u.

Cell and atoms, written as Quantum ESPRESSO input:
```
&SYSTEM
  ibrav = 0, nat = 4, ntyp = 3
/
ATOMIC_SPECIES
As 74.92 As.upf
Mo 95.94 Mo.upf
Ba 137.33 Ba.upf
CELL_PARAMETERS angstrom
4.804 0.000 0.000
0.000 4.134 -0.003
0.000 0.585 5.088
ATOMIC_POSITIONS angstrom
As 2.402 1.180 1.271
Mo 0.000 0.321 0.557
Mo 0.000 2.039 1.985
Ba 2.402 3.539 3.813
```


Here is a geometry-optimized ZnAsAu2 structure from Alexandria. Energies are from PBE-GGA. Values from VASP.

- Energy above the most stable polymorph in this dataset: 0.234 eV per formula unit
- Formation energy from the elements: 0.07 eV per atom
- DFT total energy: -3.047 eV/atom
- Density of states at the Fermi level: 0.963 states/eV/f.u.

Cell and atoms, written as Quantum ESPRESSO input:
```
&SYSTEM
  ibrav = 0, nat = 4, ntyp = 3
/
ATOMIC_SPECIES
As 74.92 As.upf
Au 196.97 Au.upf
Zn 65.41 Zn.upf
CELL_PARAMETERS angstrom
-7.984 2.603 -1.481
-7.413 0.946 -4.108
-8.380 -0.530 -1.489
ATOMIC_POSITIONS angstrom
As -17.865 2.269 -5.318
Au -0.055 0.007 -0.016
Au -5.831 0.740 -1.736
Zn -11.914 1.513 -3.546
```


Here is a geometry-optimized Bi3O2F5 structure from Alexandria. Energies are from PBE-GGA. Values from VASP.

- Energy above the most stable polymorph in this dataset: 0.269 eV per formula unit
- E_form (uncorrected): -200.1 kJ/mol of atoms
- DFT total energy: -5.165 eV/atom
- Density of states at the Fermi level: 0.000 states/eV/f.u.

Cell and atoms, written as Quantum ESPRESSO input:
```
&SYSTEM
  ibrav = 0, nat = 40, ntyp = 3
/
ATOMIC_SPECIES
Bi 208.98 Bi.upf
O 16.00 O.upf
F 19.00 F.upf
CELL_PARAMETERS angstrom
5.998 0.000 0.000
0.000 8.267 -0.001
0.000 4.177 12.878
ATOMIC_POSITIONS angstrom
Bi 2.538 2.067 0.000
Bi 3.461 6.200 -0.001
Bi 0.150 4.139 1.838
Bi 2.772 2.235 3.741
Bi 5.848 8.272 1.838
Bi 3.226 6.368 3.741
Bi 5.940 4.155 6.439
Bi 0.058 8.288 6.438
Bi 2.772 6.075 9.136
Bi 0.150 4.171 11.040
Bi 3.226 10.209 9.136
Bi 5.848 8.305 11.039
O 1.284 0.228 0.040
O 4.714 4.362 0.040
O 1.439 2.119 2.030
O 4.559 6.252 2.029
O 1.439 6.191 10.848
O 4.559 10.325 10.848
O 1.284 8.082 12.838
O 4.714 12.215 12.837
F 4.647 2.384 2.098
F 1.351 6.518 2.098
F 2.659 4.391 2.678
F 0.923 3.382 4.489
F 3.339 8.525 2.678
F 4.325 4.621 4.718
F 5.075 7.516 4.489
F 1.673 8.755 4.718
F 1.235 5.913 5.781
F 1.235 2.397 7.097
F 4.763 10.046 5.780
F 4.763 6.531 7.096
F 4.325 3.689 8.159
F 0.923 4.928 8.388
F 1.673 7.822 8.159
F 2.659 3.919 10.200
F 5.075 9.061 8.388
F 3.339 8.052 10.199
F 4.647 5.926 10.779
F 1.351 10.059 10.779
```


Here is a geometry-optimized Mg5Ga5Pd2 structure from Alexandria. Energies are from PBE-GGA. Values from VASP.

- Formation energy from the elements: -0.36 eV per atom
- DFT total energy: -3.154 eV/atom
- Density of states at the Fermi level: 3.664 states/eV/f.u.

Cell and atoms, written as Quantum ESPRESSO input:
```
&SYSTEM
  ibrav = 0, nat = 12, ntyp = 3
/
ATOMIC_SPECIES
Mg 24.30 Mg.upf
Ga 69.72 Ga.upf
Pd 106.42 Pd.upf
CELL_PARAMETERS angstrom
-1.763 -2.097 3.445
2.103 -5.282 -4.951
5.230 5.306 5.907
ATOMIC_POSITIONS angstrom
Mg 1.733 1.604 4.676
Mg 4.236 2.237 6.343
Mg 1.243 -1.508 2.531
Mg 4.326 -0.565 1.870
Mg 1.333 -4.311 -1.942
Ga 1.946 1.135 1.687
Ga 3.935 -0.165 4.726
Ga 1.635 -1.909 -0.325
Ga 3.624 -3.209 2.714
Ga 0.000 0.000 0.000
Pd 4.063 1.917 3.246
Pd 1.506 -3.990 1.155
```


Here is a geometry-optimized Ac8Hg4Ir3Ru structure from Alexandria. Energies are from PBE-GGA. Values from VASP.

- Formation energy from the elements: -0.53 eV per atom
- DFT total energy: -4.899 eV/atom
- Density of states at the Fermi level: 12.281 states/eV/f.u.

Cell and atoms, written as Quantum ESPRESSO input:
```
&SYSTEM
  ibrav = 0, nat = 16, ntyp = 4
/
ATOMIC_SPECIES
Ac 227.00 Ac.upf
Hg 200.59 Hg.upf
Ir 192.22 Ir.upf
Ru 101.07 Ru.upf
CELL_PARAMETERS angstrom
-3.862 7.752 -0.564
-4.241 -2.711 -8.215
-1.353 -5.027 6.944
ATOMIC_POSITIONS angstrom
Ac -5.153 -4.953 0.852
Ac -4.472 -2.421 -2.646
Ac -3.043 -1.438 1.077
Ac -7.099 -1.048 0.568
Ac -2.357 1.062 -2.404
Ac -6.413 1.451 -2.912
Ac -4.984 2.434 0.810
Ac -4.303 4.967 -2.688
Hg -1.931 3.876 -0.282
Hg -2.608 1.362 3.190
Hg 0.000 0.000 0.000
Hg -0.677 -2.514 3.472
Ir -4.051 2.521 -4.390
Ir -4.728 0.007 -0.918
Ir -2.797 -3.869 -0.636
Ru -2.120 -1.355 -4.108
```